(1)
Computed, not measured: MnTc2Br after structural relaxation at the PBE level of DFT.

Cell: 3.0834 3.0503 7.5688 Å, 90.00 90.11 90.00°
Space group Pm (No. 6)
Asymmetric unit:
Mn (0.0000, 0.0000, 0.0000) [1 per cell]
Tc (0.4985, 0.5000, 0.7700) [1 per cell]
Tc (0.9976, 0.0000, 0.5884) [1 per cell]
Br (0.9956, 0.5000, 0.2906) [1 per cell]

Output
For the electronic total energy, the calculation gives -0.2790 hartree per atom. The calculation puts the uncorrected formation energy at 300 meV per atom. For the excess energy over the best structure of this formula in the dataset, the calculation gives 0.0 meV per atom. For the density of states at the Fermi level, the calculation gives 2.7 states/eV/cell.

---

(2)
Computed, not measured: CaPm2GaO after structural relaxation at the PBE level of DFT.

Cell: 4.8932 4.8932 4.7278 Å, 90.00 90.00 90.00°
Space group P4/mmm (No. 123)
Asymmetric unit:
Ca (0.0000, 0.0000, 0.0000) [1 per cell]
Pm (0.0000, 0.5000, 0.5000) [2 per cell]
Ga (0.5000, 0.5000, 0.0000) [1 per cell]
O (0.0000, 0.0000, 0.5000) [1 per cell]

Output
For the electronic total energy, the calculation gives -0.1939 hartree per atom. The calculation puts the uncorrected formation energy at -1378 meV per atom. For the density of states at the Fermi level, the calculation gives 1.8 states/eV/cell.

---

(3)
Computed, not measured: PrNd2Tm5Sc after structural relaxation at the PBE level of DFT.

Cell: 5.5699 19.6145 10.4266 Å, 90.00 90.00 90.00°
Space group Cmc2_1 (No. 36)
Asymmetric unit:
Pr (0.0000, 0.0856, 0.0000) [4 per cell]
Nd (0.0000, 0.3848, 0.2752) [4 per cell]
Nd (0.0000, 0.3880, 0.8571) [4 per cell]
Tm (0.0000, 0.0182, 0.2809) [4 per cell]
Tm (0.0000, 0.1237, 0.5611) [4 per cell]
Tm (0.0000, 0.2030, 0.2478) [4 per cell]
Tm (0.0000, 0.2230, 0.8658) [4 per cell]
Tm (0.0000, 0.4827, 0.5640) [4 per cell]
Sc (0.0000, 0.3019, 0.5569) [4 per cell]

Output
For the electronic total energy, the calculation gives -0.1696 hartree per atom. Its formation enthalpy at 0 K is 0.164 eV/atom. For the density of states at the Fermi level, the calculation gives 48.0 states/eV/cell.

---

(4)
Computed, not measured: EuGdZnIr after structural relaxation at the PBE level of DFT.

Cell: 7.1009 7.1009 7.1009 Å, 90.00 90.00 90.00°
Space group F-43m (No. 216)
Asymmetric unit:
Eu (0.0000, 0.0000, 0.0000) [4 per cell]
Gd (0.0000, 0.0000, 0.5000) [4 per cell]
Zn (0.2500, 0.2500, 0.2500) [4 per cell]
Ir (0.2500, 0.2500, 0.7500) [4 per cell]

Output
For the electronic total energy, the calculation gives -0.3322 hartree per atom. Its formation enthalpy at 0 K is -0.416 eV/atom. For the density of states at the Fermi level, the calculation gives 23.0 states/eV/cell.

---

(5)
Computed, not measured: K2AlSbSe4 after structural relaxation at the PBE level of DFT.

Cell: 7.6013 7.6013 9.3973 Å, 90.00 90.00 90.00°
Space group I-4 (No. 82)
Asymmetric unit:
K (0.0000, 0.0000, 0.0000) [2 per cell]
K (0.0000, 0.5000, 0.2500) [2 per cell]
Al (0.0000, 0.5000, 0.7500) [2 per cell]
Sb (0.0000, 0.0000, 0.5000) [2 per cell]
Se (0.1736, 0.7197, 0.6279) [8 per cell]

Output
For the electronic total energy, the calculation gives -0.1403 hartree per atom. The calculation puts the uncorrected formation energy at -817 meV per atom.

---

(6)
Computed, not measured: ScSbO2F after structural relaxation at the PBE level of DFT.

Cell: 4.1649 4.1649 4.0500 Å, 90.00 90.00 90.00°
Space group P4/mmm (No. 123)
Asymmetric unit:
Sc (0.0000, 0.0000, 0.0000) [1 per cell]
Sb (0.5000, 0.5000, 0.5000) [1 per cell]
O (0.0000, 0.5000, 0.0000) [2 per cell]
F (0.0000, 0.0000, 0.5000) [1 per cell]

Output
For the electronic total energy, the calculation gives -0.2402 hartree per atom. The calculation puts the uncorrected formation energy at -2089 meV per atom. For the density of states at the Fermi level, the calculation gives 1.5 states/eV/cell.

---

(7)
Computed, not measured: Y2ZnBr2 after structural relaxation at the PBE level of DFT.

Cell: 5.5184 5.5184 8.9204 Å, 90.00 90.00 90.00°
Space group I4/mmm (No. 139)
Asymmetric unit:
Y (0.0000, 0.5000, 0.2500) [4 per cell]
Zn (0.0000, 0.0000, 0.0000) [2 per cell]
Br (0.0000, 0.0000, 0.3296) [4 per cell]

Output
For the electronic total energy, the calculation gives -0.1503 hartree per atom. The calculation puts the uncorrected formation energy at -580 meV per atom. For the excess energy over the best structure of this formula in the dataset, the calculation gives 37.5 meV per atom. For the density of states at the Fermi level, the calculation gives 2.5 states/eV/cell.

---

(8)
Computed, not measured: MnTlTe2 after structural relaxation at the PBE level of DFT.

Cell: 4.1501 7.4510 8.4259 Å, 97.87 104.26 106.09°
Space group P1 (No. 1)
Asymmetric unit:
Mn (0.0000, 0.0000, 0.0000) [1 per cell]
Mn (0.3349, 0.0682, 0.6038) [1 per cell]
Tl (0.0730, 0.4556, 0.6926) [1 per cell]
Tl (0.9458, 0.5866, 0.3022) [1 per cell]
Te (0.2680, 0.2054, 0.3293) [1 per cell]
Te (0.4073, 0.7665, 0.0474) [1 per cell]
Te (0.5880, 0.2419, 0.9346) [1 per cell]
Te (0.7439, 0.8426, 0.6464) [1 per cell]

Output
For the electronic total energy, the calculation gives -0.1696 hartree per atom. The calculation puts the uncorrected formation energy at -161 meV per atom. For the density of states at the Fermi level, the calculation gives 2.7 states/eV/cell.

---

(9)
Computed, not measured: Mg2In2Te after structural relaxation at the PBE level of DFT.

Cell: 8.1301 8.1301 4.0068 Å, 90.00 90.00 90.00°
Space group P4/mbm (No. 127)
Asymmetric unit:
Mg (0.1703, 0.3298, 0.0000) [4 per cell]
In (0.1325, 0.6325, 0.5000) [4 per cell]
Te (0.0000, 0.0000, 0.5000) [2 per cell]

Output
For the electronic total energy, the calculation gives -0.0875 hartree per atom. The calculation puts the uncorrected formation energy at -20 meV per atom. For the excess energy over the best structure of this formula in the dataset, the calculation gives 97.1 meV per atom. For the density of states at the Fermi level, the calculation gives 5.4 states/eV/cell.

---

(10)
Computed, not measured: ZrTiVRe after structural relaxation at the PBE level of DFT.

Cell: 6.4745 6.4745 6.4745 Å, 90.00 90.00 90.00°
Space group F-43m (No. 216)
Asymmetric unit:
Zr (0.0000, 0.0000, 0.0000) [4 per cell]
Ti (0.0000, 0.0000, 0.5000) [4 per cell]
V (0.2500, 0.2500, 0.2500) [4 per cell]
Re (0.2500, 0.2500, 0.7500) [4 per cell]

Output
For the electronic total energy, the calculation gives -0.3525 hartree per atom. Its formation enthalpy at 0 K is -0.091 eV/atom. For the density of states at the Fermi level, the calculation gives 16.8 states/eV/cell.

---

(11)
Computed, not measured: Mg3BSe after structural relaxation at the PBE level of DFT.

Cell: 4.5494 4.5494 4.5494 Å, 90.00 90.00 90.00°
Space group Pm-3m (No. 221)
Asymmetric unit:
Mg (0.0000, 0.0000, 0.5000) [3 per cell]
B (0.0000, 0.0000, 0.0000) [1 per cell]
Se (0.5000, 0.5000, 0.5000) [1 per cell]

Output
For the electronic total energy, the calculation gives -0.1146 hartree per atom. The calculation puts the uncorrected formation energy at -130 meV per atom. For the excess energy over the best structure of this formula in the dataset, the calculation gives 0.0 meV per atom. For the density of states at the Fermi level, the calculation gives 5.0 states/eV/cell.

---

(12)
Computed, not measured: NbTe2Mo2Se4 after structural relaxation at the PBE level of DFT.

Cell: 3.4048 3.4048 22.5332 Å, 90.00 90.00 120.00°
Space group P3m1 (No. 156)
Asymmetric unit:
Nb (0.0000, 0.0000, 0.0000) [1 per cell]
Te (0.6667, 0.3333, 0.0884) [1 per cell]
Te (0.6667, 0.3333, 0.9116) [1 per cell]
Mo (0.0000, 0.0000, 0.6417) [1 per cell]
Mo (0.6667, 0.3333, 0.3308) [1 per cell]
Se (0.0000, 0.0000, 0.2577) [1 per cell]
Se (0.0000, 0.0000, 0.4038) [1 per cell]
Se (0.6667, 0.3333, 0.5687) [1 per cell]
Se (0.6667, 0.3333, 0.7147) [1 per cell]

Output
For the electronic total energy, the calculation gives -0.2326 hartree per atom. The calculation puts the uncorrected formation energy at -556 meV per atom. For the density of states at the Fermi level, the calculation gives 4.2 states/eV/cell.

---

(13)
Computed, not measured: CaFeSb after structural relaxation at the PBE level of DFT.

Cell: 3.4279 3.4279 10.9309 Å, 90.00 90.00 90.00°
Space group I4mm (No. 107)
Asymmetric unit:
Ca (0.0000, 0.0000, 0.0000) [2 per cell]
Fe (0.0000, 0.0000, 0.6946) [2 per cell]
Sb (0.0000, 0.0000, 0.2891) [2 per cell]

Output
For the electronic total energy, the calculation gives -0.1803 hartree per atom. The calculation puts the uncorrected formation energy at -44 meV per atom. For the density of states at the Fermi level, the calculation gives 5.9 states/eV/cell.

---

(14)
Computed, not measured: Be2CrAu2 after structural relaxation at the PBE level of DFT.

Cell: 3.3298 3.3298 12.4489 Å, 90.00 90.00 90.00°
Space group I4/mmm (No. 139)
Asymmetric unit:
Be (0.0000, 0.5000, 0.2500) [4 per cell]
Cr (0.0000, 0.0000, 0.0000) [2 per cell]
Au (0.0000, 0.0000, 0.3853) [4 per cell]

Output
For the electronic total energy, the calculation gives -0.1612 hartree per atom. For the excess energy over the best structure of this formula in the dataset, the calculation gives 203.3 meV per atom. Its formation enthalpy at 0 K is 0.341 eV/atom. For the density of states at the Fermi level, the calculation gives 12.1 states/eV/cell.

---

(15)
Computed, not measured: MnReBr2 after structural relaxation at the PBE level of DFT.

Cell: 6.2211 8.7477 3.2680 Å, 90.00 115.21 90.00°
Space group C2/m (No. 12)
Asymmetric unit:
Mn (0.0000, 0.0000, 0.0000) [2 per cell]
Re (0.0000, 0.5000, 0.0000) [2 per cell]
Br (0.2500, 0.2500, 0.0000) [4 per cell]

Output
For the electronic total energy, the calculation gives -0.1906 hartree per atom. The calculation puts the uncorrected formation energy at 1054 meV per atom. For the excess energy over the best structure of this formula in the dataset, the calculation gives 845.7 meV per atom. For the density of states at the Fermi level, the calculation gives 8.7 states/eV/cell.

---

(16)
Computed, not measured: Tb10Y4Th after structural relaxation at the PBE level of DFT.

Cell: 9.7589 9.7589 10.4617 Å, 90.00 90.00 90.00°
Space group I4/m (No. 87)
Asymmetric unit:
Tb (0.0000, 0.5000, 0.2500) [4 per cell]
Tb (0.1134, 0.7885, 0.1607) [16 per cell]
Y (0.0668, 0.6675, 0.5000) [8 per cell]
Th (0.0000, 0.0000, 0.5000) [2 per cell]

Output
For the electronic total energy, the calculation gives -0.1810 hartree per atom. Its formation enthalpy at 0 K is 0.379 eV/atom. For the density of states at the Fermi level, the calculation gives 48.0 states/eV/cell.

---

(17)
Computed, not measured: La3HoTl2 after structural relaxation at the PBE level of DFT.

Cell: 5.2332 10.5670 6.9008 Å, 90.00 90.00 90.00°
Space group Pmc2_1 (No. 26)
Asymmetric unit:
La (0.0000, 0.0504, 0.0000) [2 per cell]
La (0.0000, 0.3155, 0.4052) [2 per cell]
La (0.5000, 0.1860, 0.7835) [2 per cell]
Ho (0.5000, 0.4611, 0.1372) [2 per cell]
Tl (0.0000, 0.3760, 0.8861) [2 per cell]
Tl (0.5000, 0.1381, 0.2896) [2 per cell]

Output
For the electronic total energy, the calculation gives -0.1582 hartree per atom. For the excess energy over the best structure of this formula in the dataset, the calculation gives 0.0 meV per atom. Its formation enthalpy at 0 K is -0.289 eV/atom. For the density of states at the Fermi level, the calculation gives 14.4 states/eV/cell.

---

(18)
Computed, not measured: CsPrCdS3 after structural relaxation at the PBE level of DFT.

Cell: 9.4332 4.2967 10.3080 Å, 90.00 108.66 90.00°
Space group P2_1/m (No. 11)
Asymmetric unit:
Cs (0.2127, 0.2500, 0.2354) [2 per cell]
Pr (0.3322, 0.7500, 0.8626) [2 per cell]
Cd (0.0853, 0.2500, 0.6130) [2 per cell]
S (0.1245, 0.2500, 0.8650) [2 per cell]
S (0.2001, 0.7500, 0.5440) [2 per cell]
S (0.4699, 0.7500, 0.1463) [2 per cell]

Output
For the electronic total energy, the calculation gives -0.1672 hartree per atom. The calculation puts the uncorrected formation energy at -1394 meV per atom. For the density of states at the Fermi level, the calculation gives 0.0 states/eV/cell.

---

(19)
Computed, not measured: AgRu2Pb after structural relaxation at the PBE level of DFT.

Cell: 9.2024 3.0350 5.0904 Å, 90.00 99.90 90.00°
Space group Cm (No. 8)
Asymmetric unit:
Ag (0.0000, 0.0000, 0.0000) [2 per cell]
Ru (0.2526, 0.5000, 0.2678) [2 per cell]
Ru (0.4859, 0.0000, 0.4550) [2 per cell]
Pb (0.2390, 0.0000, 0.7382) [2 per cell]

Output
For the electronic total energy, the calculation gives -0.2094 hartree per atom. Its formation enthalpy at 0 K is 0.579 eV/atom. For the density of states at the Fermi level, the calculation gives 9.2 states/eV/cell.

---

(20)
Computed, not measured: MnTlAu2 after structural relaxation at the PBE level of DFT.

Cell: 3.2337 3.2337 7.6649 Å, 90.00 90.00 90.00°
Space group P4/mmm (No. 123)
Asymmetric unit:
Mn (0.0000, 0.0000, 0.0000) [1 per cell]
Tl (0.0000, 0.0000, 0.5000) [1 per cell]
Au (0.5000, 0.5000, 0.2048) [2 per cell]

Output
For the electronic total energy, the calculation gives -0.1654 hartree per atom. For the excess energy over the best structure of this formula in the dataset, the calculation gives 0.0 meV per atom. Its formation enthalpy at 0 K is 0.022 eV/atom. For the density of states at the Fermi level, the calculation gives 2.1 states/eV/cell.

---

(21)
Computed, not measured: Ac3AlGe5 after structural relaxation at the PBE level of DFT.

Cell: 9.2667 9.2667 6.3027 Å, 90.00 90.00 120.00°
Space group P6_3/mcm (No. 193)
Asymmetric unit:
Ac (0.0000, 0.3812, 0.2500) [6 per cell]
Al (0.0000, 0.0000, 0.0000) [2 per cell]
Ge (0.0000, 0.2545, 0.7500) [6 per cell]
Ge (0.3333, 0.6667, 0.0000) [4 per cell]

Output
For the electronic total energy, the calculation gives -0.1743 hartree per atom. Its formation enthalpy at 0 K is -0.392 eV/atom. For the density of states at the Fermi level, the calculation gives 13.3 states/eV/cell.

---

(22)
Computed, not measured: ZrMnCu2 after structural relaxation at the PBE level of DFT.

Cell: 2.8969 2.8969 26.0765 Å, 90.00 90.00 120.00°
Space group R-3m (No. 166, hexagonal axes)
Asymmetric unit:
Zr (0.0000, 0.0000, 0.0000) [3 per cell]
Mn (0.0000, 0.0000, 0.5000) [3 per cell]
Cu (0.0000, 0.0000, 0.2426) [6 per cell]

Output
For the electronic total energy, the calculation gives -0.2288 hartree per atom. Its formation enthalpy at 0 K is 0.251 eV/atom. For the density of states at the Fermi level, the calculation gives 8.0 states/eV/cell.